{
  "formula": "NaMgBe",
  "functional": "PBE",
  "state": "relaxed",
  "lattice_angstrom": [[3.8725, 0.0000, 0.0000], [-1.9363, 3.3537, 0.0000], [0.0000, 0.0000, 10.5561]],
  "species": ["Na", "Na", "Mg", "Mg", "Be", "Be"],
  "fractional_positions": [[0.3333, 0.6667, 0.3677], [0.6667, 0.3333, 0.6323], [0.0000, 0.0000, 0.1347], [0.0000, 0.0000, 0.8653], [0.3333, 0.6667, 0.0003], [0.6667, 0.3333, 0.9997]],
  "delta_e_f_mev_per_atom": 235,
  "m_tot_mub_per_cell": 0.0,
  "dos_at_fermi_per_ev_cell": 3.157,
  "de_polymorph_mev_per_atom": 1,
  "spacegroup": "P-3m1, No. 164"
}